Entry 1:
VASP calculation (PBE) on DyThNiOs after structural relaxation.

The structure in POSCAR format:
```
DyThNiOs
1.0
0.000 3.474 3.474
3.474 0.000 3.474
3.474 3.474 0.000
Dy Th Ni Os
1 1 1 1
Direct
0.000 0.000 0.000
0.500 0.500 0.500
0.750 0.750 0.750
0.250 0.250 0.250
```

Total energy, eV per atom: -7.559
Calculated volume, Å³/atom: 21.0
Energy of formation, eV/f.u.: -1.20
Density, g/cm³: 12.7
Total moment, μB per atom: 0.00


Entry 2:
VASP calculation (PBE) on DyTiNiOs after structural relaxation.

The structure in POSCAR format:
```
DyTiNiOs
1.0
0.000 3.230 3.230
3.230 0.000 3.230
3.230 3.230 0.000
Dy Ti Ni Os
1 1 1 1
Direct
0.000 0.000 0.000
0.500 0.500 0.500
0.250 0.250 0.250
0.750 0.750 0.750
```

Total energy, eV per atom: -7.647
Calculated volume, Å³/atom: 16.8
Energy of formation, eV/f.u.: -1.08
Density, g/cm³: 11.3
Total moment, μB per atom: 0.00